A relaxed structure of LaPa2S6. Source: Alexandria via LeMat-Bulk, functional GGA-PBE.

```
LaPa2S6
1.0
6.776 -5.488 0.000
6.776 5.488 0.000
-3.112 0.000 6.439
La Pa S
2 4 12
Cartesian
4.442 3.601 4.829
5.998 -3.601 1.610
3.358 0.860 0.564
1.802 -0.860 3.784
8.638 0.860 2.655
7.082 -0.860 5.875
-0.428 0.486 4.365
2.034 2.612 6.180
1.127 -0.486 1.146
3.428 1.205 3.201
6.850 2.612 3.478
1.872 -1.205 6.420
8.567 1.205 0.019
3.589 -2.612 2.961
7.012 -1.205 3.238
9.312 0.486 5.293
8.406 -2.612 0.259
10.868 -0.486 2.073
```

Calculated values
**Raw formation energy**: -1708 meV/atom
**Total moment**: 1.10 μB per formula unit
**Energy above the lowest structure with this stoichiometry**: 0 meV per atom
**SG**: No. 15